Entry from the Alexandria database: a relaxed Ca3NbCl crystal (PBE).

Cell lengths 5.3817, 5.3817, 5.3817 Å; angles 90.00, 90.00, 90.00 degrees
With the nearest neighbours (Å) after each atom.
Space group Pm-3m (No. 221)
Symmetry-distinct sites (fractional):
Ca 0.0000 0.0000 0.5000 [3 per cell]  2 Cl 2.69
Nb 0.5000 0.5000 0.5000 [1 per cell]  12 Ca 3.81
Cl 0.0000 0.0000 0.0000 [1 per cell]  6 Ca 2.69

Summary:
energy above the most stable polymorph in this dataset = 0 meV/atom

***

Entry from the Alexandria database: a relaxed CaNbNiCl2 crystal (PBE).

Cell lengths 4.8716, 4.8716, 4.7915 Å; angles 90.00, 90.00, 90.00 degrees
With the nearest neighbours (Å) after each atom.
Space group P4/mmm (No. 123)
Symmetry-distinct sites (fractional):
Ca 0.0000 0.0000 0.0000 [1 per cell]  8 Cl 3.42, 4 Ni 3.44
Nb 0.5000 0.5000 0.5000 [1 per cell]  2 Ni 2.40, 4 Cl 2.44
Ni 0.5000 0.5000 0.0000 [1 per cell]  2 Nb 2.40
Cl 0.0000 0.5000 0.5000 [2 per cell]  2 Nb 2.44

***

Entry from the Alexandria database: a relaxed Ca2NbNiCl crystal (PBE).

Cell lengths 5.1162, 5.1162, 4.6391 Å; angles 90.00, 90.00, 90.00 degrees
With the nearest neighbours (Å) after each atom.
Space group P4/mmm (No. 123)
Symmetry-distinct sites (fractional):
Ca 0.0000 0.5000 0.0000 [2 per cell]  2 Cl 2.56
Nb 0.0000 0.0000 0.5000 [1 per cell]  2 Cl 2.32
Ni 0.5000 0.5000 0.5000 [1 per cell]  8 Ca 3.45, 4 Nb 3.62
Cl 0.0000 0.0000 0.0000 [1 per cell]  2 Nb 2.32, 4 Ca 2.56

***

no.,uncorrected formation energy (eV/atom),total DFT energy (no corrections) (eV/atom)
1,0.05,-3.54
2,-0.31,-4.62
3,0.33,-4.01